Below is a relaxed CsRbSb2I crystal, with properties calculated at the PBE level.

The value obtained for the offset from the most stable computed form is 0.1210 eV/atom. For the uncorrected energy, the calculation gives -2.01 eV per atom. The magnetization comes out at 2.5 μB/cell. For the formation energy (no corrections), the calculation gives 309 meV/atom.

Cell lengths 6.6731, 6.6731, 7.1815 Å; angles 90.00, 90.00, 90.00 degrees
With the nearest neighbours (Å) after each atom.
Positions (direct):
Cs  0.0000  0.0000  0.0000  4 Sb 3.34, 2 I 3.59
Rb  0.5000  0.5000  0.5000  4 I 4.72, 8 Sb 4.90
Sb  0.0000  0.5000  0.0000  2 Cs 3.34
Sb  0.5000  0.0000  0.0000  2 Cs 3.34
I  0.0000  0.0000  0.5000  2 Cs 3.59



Below is a relaxed CsRbSb2I crystal, with properties calculated at the PBE level.

The value obtained for the offset from the most stable computed form is 0.0000 eV/atom. For the uncorrected energy, the calculation gives -2.14 eV per atom. The magnetization comes out at 5.0 μB/cell. For the formation energy (no corrections), the calculation gives 188 meV/atom.

Cell lengths 7.0263, 7.0263, 6.9302 Å; angles 90.00, 90.00, 90.00 degrees
With the nearest neighbours (Å) after each atom.
Positions (direct):
Cs  0.0000  0.0000  0.0000  8 Sb 4.93, 4 I 4.97
Rb  0.5000  0.5000  0.5000  2 I 3.47, 4 Sb 3.51
Sb  0.0000  0.5000  0.5000  2 Rb 3.51
Sb  0.5000  0.0000  0.5000  2 Rb 3.51
I  0.5000  0.5000  0.0000  2 Rb 3.47



Below is a relaxed Cs2RbSbI6 crystal, with properties calculated at the PBE level.

The value obtained for the offset from the most stable computed form is 0.0377 eV/atom. For the uncorrected energy, the calculation gives -2.64 eV per atom. The magnetization comes out at 0.0 μB/cell. For the formation energy (no corrections), the calculation gives -1030 meV/atom.

Cell lengths 9.2141, 9.2141, 9.2141 Å; angles 60.00, 60.00, 60.00 degrees
With the nearest neighbours (Å) after each atom.
Positions (direct):
Cs  0.2500  0.2500  0.2500  12 I 4.61
Cs  0.7500  0.7500  0.7500  12 I 4.61
Rb  0.0000  0.0000  0.0000  6 I 3.49
Sb  0.5000  0.5000  0.5000  6 I 3.02
I  0.2679  0.2679  0.7321  1 Sb 3.02
I  0.2679  0.7321  0.2679  1 Sb 3.02
I  0.2679  0.7321  0.7321  1 Sb 3.02
I  0.7321  0.2679  0.2679  1 Sb 3.02
I  0.7321  0.2679  0.7321  1 Sb 3.02
I  0.7321  0.7321  0.2679  1 Sb 3.02



Below is a relaxed CsRbSbI2 crystal, with properties calculated at the PBE level.

The value obtained for the offset from the most stable computed form is 0.1284 eV/atom. For the uncorrected energy, the calculation gives -2.15 eV per atom. The magnetization comes out at 2.0 μB/cell. For the formation energy (no corrections), the calculation gives -339 meV/atom.

Cell lengths 7.1767, 7.1767, 6.5857 Å; angles 90.00, 90.00, 90.00 degrees
With the nearest neighbours (Å) after each atom.
Positions (direct):
Cs  0.0000  0.0000  0.0000  2 Sb 3.29, 4 I 3.59
Rb  0.5000  0.5000  0.5000  8 I 4.87, 4 Sb 5.07
Sb  0.0000  0.0000  0.5000  2 Cs 3.29
I  0.0000  0.5000  0.0000  2 Cs 3.59
I  0.5000  0.0000  0.0000  2 Cs 3.59



Below is a relaxed Cs2RbSbI6 crystal, with properties calculated at the PBE level.

The value obtained for the offset from the most stable computed form is 0.0000 eV/atom. For the uncorrected energy, the calculation gives -2.68 eV per atom. The magnetization comes out at 0.0 μB/cell. For the formation energy (no corrections), the calculation gives -1067 meV/atom.

Cell lengths 8.8772, 9.4030, 15.5408 Å; angles 90.00, 124.49, 90.00 degrees
With the nearest neighbours (Å) after each atom.
Positions (direct):
Cs  0.2199  0.0781  0.2478  6 I 3.90-4.13
Cs  0.2199  0.4219  0.7478  6 I 3.90-4.13
Cs  0.7801  0.5781  0.2522  6 I 3.90-4.13
Cs  0.7801  0.9219  0.7522  6 I 3.90-4.13
Rb  0.5000  0.0000  0.0000  6 I 3.63-3.69
Rb  0.5000  0.5000  0.5000  6 I 3.63-3.69
Sb  0.0000  0.0000  0.5000  6 I 3.05-3.06
Sb  0.0000  0.5000  0.0000  6 I 3.05-3.06
I  0.1151  0.2252  0.9461  1 Sb 3.06
I  0.1151  0.2748  0.4461  1 Sb 3.06
I  0.2315  0.6757  0.9504  1 Sb 3.06
I  0.2315  0.8243  0.4504  1 Sb 3.06
I  0.3282  0.0270  0.7260  1 Sb 3.05
I  0.3282  0.4730  0.2260  1 Sb 3.05
I  0.6718  0.5270  0.7740  1 Sb 3.05
I  0.6718  0.9730  0.2740  1 Sb 3.05
I  0.7685  0.1757  0.5496  1 Sb 3.06
I  0.7685  0.3243  0.0496  1 Sb 3.06
I  0.8849  0.7252  0.5539  1 Sb 3.06
I  0.8849  0.7748  0.0539  1 Sb 3.06



Below is a relaxed CsRbScI6 crystal, with properties calculated at the PBE level.

For the uncorrected energy, the calculation gives -3.11 eV per atom. The magnetization comes out at 1.0 μB/cell. For the formation energy (no corrections), the calculation gives -1170 meV/atom.

Cell lengths 6.7664, 8.5083, 8.5603 Å; angles 61.12, 87.65, 86.20 degrees
With the nearest neighbours (Å) after each atom.
Positions (direct):
Cs  0.0000  0.0000  0.0000  8 I 3.95-4.20
Rb  0.4832  0.3074  0.3742  7 I 3.74-4.01
Sc  0.2924  0.7408  0.6294  6 I 2.83-3.02
I  0.0076  0.0319  0.5129  1 Sc 2.83
I  0.0418  0.5610  0.4852  1 Sc 3.01
I  0.1572  0.4618  0.9744  1 Sc 2.91
I  0.4895  0.8982  0.2920  1 Sc 2.85
I  0.4973  0.8835  0.8112  1 Sc 2.84
I  0.6093  0.4408  0.7344  1 Sc 3.02



Below is a relaxed CsRbSc2I8 crystal, with properties calculated at the PBE level.

For the uncorrected energy, the calculation gives -3.54 eV per atom. The magnetization comes out at 0.0 μB/cell. For the formation energy (no corrections), the calculation gives -1297 meV/atom.

Cell lengths 12.0410, 12.0410, 12.0410 Å; angles 39.85, 39.85, 39.85 degrees
With the nearest neighbours (Å) after each atom.
Positions (direct):
Cs  0.0000  0.0000  0.0000  6 I 4.23
Rb  0.5000  0.5000  0.5000  6 I 3.81
Sc  0.2570  0.2570  0.2570  4 I 2.70-2.73
Sc  0.7430  0.7430  0.7430  4 I 2.70-2.73
I  0.0534  0.4297  0.8248  1 Sc 2.73
I  0.1752  0.9466  0.5703  1 Sc 2.73
I  0.3385  0.3385  0.3385  1 Sc 2.70
I  0.4297  0.8248  0.0534  1 Sc 2.73
I  0.5703  0.1752  0.9466  1 Sc 2.73
I  0.6615  0.6615  0.6615  1 Sc 2.70
I  0.8248  0.0534  0.4297  1 Sc 2.73
I  0.9466  0.5703  0.1752  1 Sc 2.73



Below is a relaxed Cs2Rb2SeI2 crystal, with properties calculated at the PBE level.

For the uncorrected energy, the calculation gives -2.74 eV per atom. The magnetization comes out at 0.0 μB/cell. For the formation energy (no corrections), the calculation gives -1276 meV/atom.

Cell lengths 5.1307, 9.2416, 9.6510 Å; angles 64.84, 74.61, 89.90 degrees
With the nearest neighbours (Å) after each atom.
Positions (direct):
Cs  0.0186  0.2527  0.4642  2 Se 3.55
Cs  0.9814  0.7473  0.5358  2 Se 3.55
Rb  0.3094  0.2512  0.8820  1 Se 3.27, 2 I 3.65
Rb  0.6906  0.7488  0.1180  1 Se 3.27, 2 I 3.65
Se  0.5000  0.5000  0.5000  2 Rb 3.27, 4 Cs 3.55
I  0.3449  0.8837  0.8078  3 Rb 3.65-3.75
I  0.6551  0.1163  0.1922  3 Rb 3.65-3.75



Below is a relaxed CsRbSeI crystal, with properties calculated at the PBE level.

For the uncorrected energy, the calculation gives -2.66 eV per atom. The magnetization comes out at 1.0 μB/cell. For the formation energy (no corrections), the calculation gives -943 meV/atom.

Cell lengths 6.2859, 6.2859, 6.2859 Å; angles 60.00, 60.00, 60.00 degrees
With the nearest neighbours (Å) after each atom.
Positions (direct):
Cs  0.0000  0.0000  0.0000  4 Se 3.85, 4 I 3.85
Rb  0.5000  0.5000  0.5000  4 Se 3.85, 4 I 3.85
Se  0.7500  0.7500  0.7500  4 Rb 3.85, 4 Cs 3.85
I  0.2500  0.2500  0.2500  4 Rb 3.85, 4 Cs 3.85



Below is a relaxed CsRb2SeI crystal, with properties calculated at the PBE level.

For the uncorrected energy, the calculation gives -2.70 eV per atom. The magnetization comes out at 0.0 μB/cell. For the formation energy (no corrections), the calculation gives -1136 meV/atom.

Cell lengths 6.5357, 6.5357, 6.9234 Å; angles 90.00, 90.00, 90.00 degrees
With the nearest neighbours (Å) after each atom.
Positions (direct):
Cs  0.0000  0.0000  0.0000  2 Se 3.46
Rb  0.0000  0.5000  0.5000  2 Se 3.27
Rb  0.5000  0.0000  0.5000  2 Se 3.27
Se  0.0000  0.0000  0.5000  4 Rb 3.27, 2 Cs 3.46
I  0.5000  0.5000  0.0000  4 Cs 4.62, 8 Rb 4.76



Below is a relaxed Cs2RbSiI6 crystal, with properties calculated at the PBE level.

For the uncorrected energy, the calculation gives -2.65 eV per atom. The magnetization comes out at 0.0 μB/cell. For the formation energy (no corrections), the calculation gives -911 meV/atom.

Cell lengths 8.9071, 8.9071, 8.9071 Å; angles 60.00, 60.00, 60.00 degrees
With the nearest neighbours (Å) after each atom.
Positions (direct):
Cs  0.2500  0.2500  0.2500  12 I 4.47
Cs  0.7500  0.7500  0.7500  12 I 4.47
Rb  0.0000  0.0000  0.0000  6 I 3.49
Si  0.5000  0.5000  0.5000  6 I 2.81
I  0.2772  0.2772  0.7228  1 Si 2.81
I  0.2772  0.7228  0.2772  1 Si 2.81
I  0.2772  0.7228  0.7228  1 Si 2.81
I  0.7228  0.2772  0.2772  1 Si 2.81
I  0.7228  0.2772  0.7228  1 Si 2.81
I  0.7228  0.7228  0.2772  1 Si 2.81



Below is a relaxed CsRbSm2I8 crystal, with properties calculated at the PBE level.

For the uncorrected energy, the calculation gives -3.34 eV per atom. The magnetization comes out at 0.0 μB/cell. For the formation energy (no corrections), the calculation gives -1367 meV/atom.

Cell lengths 8.5706, 8.5706, 9.6241 Å; angles 90.00, 90.00, 120.00 degrees
With the nearest neighbours (Å) after each atom.
Positions (direct):
Cs  0.0000  0.0000  0.0000  12 I 4.59-5.04, 2 Rb 4.81
Rb  0.0000  0.0000  0.5000  6 I 3.51
Sm  0.3333  0.6667  0.4136  7 I 3.02-3.29
Sm  0.6667  0.3333  0.5864  7 I 3.02-3.29
I  0.0592  0.3967  0.6553  2 Sm 3.20-3.29, 1 Rb 3.51
I  0.3333  0.6667  0.1003  1 Sm 3.02
I  0.3375  0.9408  0.6553  2 Sm 3.20-3.29, 1 Rb 3.51
I  0.3967  0.3375  0.3447  2 Sm 3.20-3.29, 1 Rb 3.51
I  0.6033  0.6625  0.6553  2 Sm 3.20-3.29, 1 Rb 3.51
I  0.6625  0.0592  0.3447  2 Sm 3.20-3.29, 1 Rb 3.51
I  0.6667  0.3333  0.8997  1 Sm 3.02
I  0.9408  0.6033  0.3447  2 Sm 3.20-3.29, 1 Rb 3.51



> Which value of magnetization does entry 12 give?

0.0 μB/cell